--- 1 ---
The following is a PBE-GGA calculation of a relaxed structure of TaGe2Ru, from the Alexandria database.

a = 4.506 Å, b = 4.506 Å, c = 4.506 Å
α = 60.00°, β = 60.00°, γ = 60.00°
Fractional positions:
1 Ru 0.000 0.000 0.000
2 Ge 0.250 0.250 0.250
3 Ge 0.750 0.750 0.750
4 Ta 0.500 0.500 0.500

Output
The density is 11.0 Mg/m³. The magnetization comes out at 1.43 μB per formula unit. As for the space-group type: Fm-3m (225).

***

--- 2 ---
The following is a PBE-GGA calculation of a relaxed structure of TaGe2Ru, from the Alexandria database.

a = 2.901 Å, b = 2.901 Å, c = 9.563 Å
α = 81.28°, β = 81.28°, γ = 60.00°
Fractional positions:
1 Ru 0.000 0.000 0.000
2 Ge 0.087 0.087 0.740
3 Ge 0.913 0.913 0.260
4 Ta 0.500 0.500 0.500

Output
The density is 10.3 Mg/m³. The magnetization comes out at 0.59 μB per formula unit. As for the space-group type: R-3m (166).

***

It is 2 that is the least stable of them.

***

--- 1 ---
The following is a PBE-GGA calculation of a relaxed structure of TbYGeRu, from the Alexandria database.

a = 4.251 Å, b = 3.907 Å, c = 5.817 Å
α = 90.00°, β = 111.43°, γ = 90.00°
Fractional positions:
1 Tb 0.853 0.500 0.705
2 Y 0.135 0.000 0.269
3 Ge 0.430 0.000 0.861
4 Ru 0.582 0.500 0.165

Output
The density is 7.8 Mg/m³. The magnetization comes out at 0.00 μB per formula unit. As for the space-group type: Amm2 (38).

***

--- 2 ---
The following is a PBE-GGA calculation of a relaxed structure of TbYGeRu, from the Alexandria database.

a = 4.946 Å, b = 4.946 Å, c = 4.946 Å
α = 60.00°, β = 60.00°, γ = 60.00°
Fractional positions:
1 Y 0.250 0.250 0.250
2 Ru 0.000 0.000 0.000
3 Ge 0.500 0.500 0.500
4 Tb 0.750 0.750 0.750

Output
The density is 8.2 Mg/m³. The magnetization comes out at 0.00 μB per formula unit. As for the space-group type: F-43m (216).

***

It is 2 that is the least stable of them.

***

--- 1 ---
The following is a PBE-GGA calculation of a relaxed structure of Tc2Ge4Ru, from the Alexandria database.

a = 4.731 Å, b = 4.731 Å, c = 7.055 Å
α = 70.41°, β = 70.41°, γ = 90.00°
Fractional positions:
1 Ru 0.000 0.000 0.000
2 Ge 0.200 0.200 0.600
3 Ge 0.800 0.800 0.400
4 Ge 0.000 0.500 0.000
5 Ge 0.500 0.000 0.000
6 Tc 0.398 0.398 0.205
7 Tc 0.602 0.602 0.795

Output
The density is 7.0 Mg/m³. The magnetization comes out at 3.63 μB per formula unit. As for the space-group type: I4/mmm (139).

***

--- 2 ---
The following is a PBE-GGA calculation of a relaxed structure of Tc2Ge4Ru, from the Alexandria database.

a = 3.187 Å, b = 5.646 Å, c = 7.160 Å
α = 111.66°, β = 102.86°, γ = 90.00°
Fractional positions:
1 Tc 0.753 0.750 0.506
2 Tc 0.247 0.250 0.494
3 Ge 0.880 0.221 0.760
4 Ge 0.120 0.779 0.240
5 Ge 0.614 0.319 0.228
6 Ge 0.386 0.681 0.772
7 Ru 0.000 0.000 0.000

Output
The density is 8.4 Mg/m³. The magnetization comes out at 0.00 μB per formula unit. As for the space-group type: C2/m (12).

***

It is 1 that is the least stable of them.

***

--- 1 ---
The following is a PBE-GGA calculation of a relaxed structure of GeTeRu2, from the Alexandria database.

a = 4.509 Å, b = 4.509 Å, c = 4.509 Å
α = 60.00°, β = 60.00°, γ = 60.00°
Fractional positions:
1 Ru 0.250 0.250 0.250
2 Ru 0.750 0.750 0.750
3 Ge 0.000 0.000 0.000
4 Te 0.500 0.500 0.500

Output
The density is 10.3 Mg/m³. The magnetization comes out at 0.79 μB per formula unit. As for the space-group type: Fm-3m (225).

***

--- 2 ---
The following is a PBE-GGA calculation of a relaxed structure of GeTeRu2, from the Alexandria database.

a = 5.650 Å, b = 5.650 Å, c = 7.001 Å
α = 66.20°, β = 66.20°, γ = 90.00°
Fractional positions:
1 Ru 0.601 0.125 0.250
2 Ru 0.149 0.625 0.250
3 Ru 0.375 0.399 0.750
4 Ru 0.875 0.851 0.750
5 Ge 0.500 0.500 0.000
6 Ge 0.250 0.750 0.500
7 Te 0.000 0.000 0.000
8 Te 0.750 0.250 0.500

Output
The density is 7.3 Mg/m³. The magnetization comes out at 0.00 μB per formula unit. As for the space-group type: I-42d (122).

***

It is 2 that is the least stable of them.

***

--- 1 ---
The following is a PBE-GGA calculation of a relaxed structure of GeTeRu3, from the Alexandria database.

a = 4.574 Å, b = 4.574 Å, c = 4.574 Å
α = 90.00°, β = 90.00°, γ = 90.00°
Fractional positions:
1 Ru 0.000 0.500 0.000
2 Ru 0.000 0.000 0.500
3 Ru 0.500 0.000 0.000
4 Ge 0.000 0.000 0.000
5 Te 0.500 0.500 0.500

Output
The density is 8.7 Mg/m³. The magnetization comes out at 0.00 μB per formula unit. As for the space-group type: Pm-3m (221).

***

--- 2 ---
The following is a PBE-GGA calculation of a relaxed structure of GeTeRu3, from the Alexandria database.

a = 4.843 Å, b = 4.843 Å, c = 4.843 Å
α = 90.00°, β = 90.00°, γ = 90.00°
Fractional positions:
1 Ru 0.000 0.500 0.000
2 Ru 0.000 0.000 0.500
3 Ru 0.500 0.000 0.000
4 Ge 0.500 0.500 0.500
5 Te 0.000 0.000 0.000

Output
The density is 7.4 Mg/m³. The magnetization comes out at 2.04 μB per formula unit. As for the space-group type: Pm-3m (221).

***

It is 2 that is the least stable of them.

***

--- 1 ---
The following is a PBE-GGA calculation of a relaxed structure of YGeTe2Ru, from the Alexandria database.

a = 5.843 Å, b = 4.933 Å, c = 5.843 Å
α = 90.00°, β = 90.00°, γ = 90.00°
Fractional positions:
1 Y 0.000 0.000 0.000
2 Ru 0.000 0.500 0.000
3 Ge 0.500 0.500 0.500
4 Te 0.000 0.000 0.500
5 Te 0.500 0.000 0.000

Output
The density is 5.1 Mg/m³. The magnetization comes out at 1.31 μB per formula unit. As for the space-group type: P4/mmm (123).

***

--- 2 ---
The following is a PBE-GGA calculation of a relaxed structure of YGeTe2Ru, from the Alexandria database.

a = 5.135 Å, b = 5.153 Å, c = 5.135 Å
α = 90.00°, β = 90.00°, γ = 90.00°
Fractional positions:
1 Y 0.000 0.500 0.000
2 Ru 0.500 0.500 0.500
3 Ge 0.000 0.000 0.000
4 Te 0.000 0.000 0.500
5 Te 0.500 0.000 0.000

Output
The density is 6.3 Mg/m³. The magnetization comes out at 2.11 μB per formula unit. As for the space-group type: P4/mmm (123).

***

It is 2 that is the least stable of them.

***

--- 1 ---
The following is a PBE-GGA calculation of a relaxed structure of Th3Ge4Ru2, from the Alexandria database.

a = 4.337 Å, b = 6.016 Å, c = 8.318 Å
α = 103.53°, β = 90.00°, γ = 111.13°
Fractional positions:
1 Th 0.669 0.337 0.650
2 Th 0.000 0.000 0.000
3 Th 0.331 0.663 0.350
4 Ge 0.733 0.467 0.078
5 Ge 0.267 0.533 0.922
6 Ge 0.947 0.894 0.617
7 Ge 0.053 0.106 0.383
8 Ru 0.594 0.188 0.265
9 Ru 0.406 0.812 0.735

Output
The density is 10.1 Mg/m³. The magnetization comes out at 0.00 μB per formula unit. As for the space-group type: C2/m (12).

***

--- 2 ---
The following is a PBE-GGA calculation of a relaxed structure of Th3Ge4Ru2, from the Alexandria database.

a = 4.395 Å, b = 5.930 Å, c = 8.432 Å
α = 106.77°, β = 90.00°, γ = 111.75°
Fractional positions:
1 Th 0.627 0.255 0.695
2 Th 0.000 0.000 0.000
3 Th 0.373 0.745 0.305
4 Ge 0.709 0.418 0.077
5 Ge 0.291 0.582 0.923
6 Ge 0.906 0.812 0.604
7 Ge 0.094 0.188 0.396
8 Ru 0.691 0.382 0.368
9 Ru 0.309 0.618 0.632

Output
The density is 10.2 Mg/m³. The magnetization comes out at 0.00 μB per formula unit. As for the space-group type: C2/m (12).

***

It is 1 that is the least stable of them.

***

--- 1 ---
The following is a PBE-GGA calculation of a relaxed structure of Th2GeRu2, from the Alexandria database.

a = 4.303 Å, b = 5.946 Å, c = 9.370 Å
α = 92.42°, β = 76.72°, γ = 68.78°
Fractional positions:
1 Th 0.672 0.327 0.329
2 Th 0.922 0.254 0.903
3 Th 0.328 0.673 0.671
4 Th 0.078 0.746 0.097
5 Ge 0.651 0.067 0.632
6 Ge 0.349 0.933 0.368
7 Ru 0.055 0.299 0.591
8 Ru 0.671 0.778 0.879
9 Ru 0.945 0.701 0.409
10 Ru 0.329 0.222 0.121

Output
The density is 11.4 Mg/m³. The magnetization comes out at 0.00 μB per formula unit. As for the space-group type: C2/m (12).

***

--- 2 ---
The following is a PBE-GGA calculation of a relaxed structure of Th2GeRu2, from the Alexandria database.

a = 5.491 Å, b = 5.834 Å, c = 8.024 Å
α = 105.58°, β = 90.00°, γ = 118.07°
Fractional positions:
1 Th 0.495 0.294 0.148
2 Th 0.201 0.706 0.352
3 Th 0.505 0.706 0.852
4 Th 0.799 0.294 0.648
5 Ge 0.873 0.000 0.250
6 Ge 0.127 0.000 0.750
7 Ru 0.725 0.741 0.474
8 Ru 0.984 0.259 0.026
9 Ru 0.275 0.259 0.526
10 Ru 0.016 0.741 0.974

Output
The density is 11.4 Mg/m³. The magnetization comes out at 0.00 μB per formula unit. As for the space-group type: C2/c (15).

***

It is 1 that is the least stable of them.